Entry 1:
Density functional theory data (GGA+U) for a geometry-optimized TcMoO2F structure.

Output
* electronic total energy: -33.0 eV per cell
* mass density: 5.8 g/cm³
* space group: P4/mmm, No. 123
* crystal system: tetragonal

a = 3.8103 Å, b = 3.8103 Å, c = 4.8260 Å
α = 90.00°, β = 90.00°, γ = 90.00°
Closest atoms and distances in Å follow each position.
Sites, in units of the cell vectors:
Tc (0.0000, 0.0000, 0.0000)  4 O 1.91
Mo (0.5000, 0.5000, 0.5000)  4 F 2.69
O (0.0000, 0.5000, 0.0000)  2 Tc 1.91
O (0.5000, 0.0000, 0.0000)  2 Tc 1.91
F (0.0000, 0.0000, 0.5000)  2 Tc 2.41, 4 Mo 2.69

=====

Entry 2:
Density functional theory data (GGA+U) for a geometry-optimized TcMoOF2 structure.

Output
* mass density: 5.4 g/cm³
* space group: P4/mmm, No. 123
* polymorph energy (0 for the lowest one): 275.3 meV per atom
* crystal system: tetragonal

a = 4.4261 Å, b = 4.4261 Å, c = 3.8853 Å
α = 90.00°, β = 90.00°, γ = 90.00°
Closest atoms and distances in Å follow each position.
Sites, in units of the cell vectors:
Tc (0.0000, 0.0000, 0.0000)  8 F 2.94, 4 O 3.13
Mo (0.5000, 0.5000, 0.5000)  2 O 1.94
O (0.5000, 0.5000, 0.0000)  2 Mo 1.94
F (0.0000, 0.5000, 0.5000)  2 Mo 2.21
F (0.5000, 0.0000, 0.5000)  2 Mo 2.21